Rb2CaNpTe4 | Alexandria via LeMat-Bulk | PBE | relaxed; mass density = 5.08 g/cm³; total moment = 3.00 μB/cell; DFT total energy = -38.1 eV per cell; symmetry = P2/m (10)
1.0
4.640 0.000 0.000
0.000 7.960 0.141
0.000 -2.806 8.439
Rb Ca Np Te
2 1 1 4
Cartesian
2.320 -1.403 4.219
0.000 2.577 4.290
2.320 3.980 0.070
0.000 0.000 0.000
2.320 1.208 1.697
2.320 3.946 6.882
0.000 -0.233 6.794
0.000 5.387 1.785

LiBeSn | Alexandria via LeMat-Bulk | PBE | relaxed; distance to the lowest polymorph of the same formula = 0.06 eV/f.u.; mass density = 4.36 g/cm³; total moment = 0.00 μB/cell; formation enthalpy at 0 K = -0.021 eV/atom; DFT total energy = -9.7 eV per cell; symmetry = F-43m (216)
1.0
4.172 0.000 0.000
2.086 3.613 0.000
2.086 1.204 3.406
Be Sn Li
1 1 1
Cartesian
2.086 1.204 0.852
0.000 0.000 0.000
4.172 2.409 1.703

AlBi2Sb | Alexandria via LeMat-Bulk | PBE | relaxed; distance to the lowest polymorph of the same formula = 0.00 eV/f.u.; mass density = 8.53 g/cm³; total moment = 0.00 μB/cell; DFT total energy = -14.6 eV per cell; symmetry = Fm-3m (225)
1.0
0.000 3.806 3.806
3.806 0.000 3.806
3.806 3.806 0.000
Sb Bi Al
1 2 1
Cartesian
3.806 3.806 3.806
1.903 1.903 1.903
5.710 5.710 5.710
0.000 0.000 0.000